Record 1
! MnHgW, relaxed, DFT GGA-PBE; values from VASP
! Calculated total energy (eV per cell): -20.85
! Formation energy from the elements (eV/f.u.): 1.58
! ΔE to the lowest computed polymorph (eV per formula unit): 0.03
! Magnetization (Bohr magnetons per cell): 0.74
&SYSTEM
  ibrav = 0, nat = 3, ntyp = 3
/
ATOMIC_SPECIES
Hg 200.59 Hg.upf
Mn 54.94 Mn.upf
W 183.84 W.upf
CELL_PARAMETERS angstrom
-3.000 4.953 -0.726
-5.441 1.566 -1.416
3.680 -3.286 3.117
ATOMIC_POSITIONS angstrom
Hg -8.375 6.468 -2.126
Mn -2.646 2.043 -0.671
W -5.861 4.526 -1.488

Record 2
! SbAs2Se, relaxed, DFT GGA-PBE; values from VASP
! Calculated total energy (eV per cell): -15.24
! Raw formation energy (eV/f.u.): 1.66
! ΔE to the lowest computed polymorph (eV per formula unit): 1.60
! Magnetization (Bohr magnetons per cell): 0.00
&SYSTEM
  ibrav = 0, nat = 4, ntyp = 3
/
ATOMIC_SPECIES
Sb 121.76 Sb.upf
As 74.92 As.upf
Se 78.96 Se.upf
CELL_PARAMETERS angstrom
3.305 -0.005 0.000
-1.345 3.019 0.000
0.000 0.000 8.843
ATOMIC_POSITIONS angstrom
Sb 0.980 1.507 2.211
As 0.000 0.000 8.678
As 0.000 0.000 4.587
Se 0.980 1.507 6.632

Record 3
! YTa2Cd, relaxed, DFT GGA-PBE; values from VASP
! Calculated total energy (eV per cell): -29.68
! Formation energy from the elements (eV/f.u.): 1.40
! Magnetization (Bohr magnetons per cell): 0.00
&SYSTEM
  ibrav = 0, nat = 4, ntyp = 3
/
ATOMIC_SPECIES
Cd 112.41 Cd.upf
Ta 180.95 Ta.upf
Y 88.91 Y.upf
CELL_PARAMETERS angstrom
5.208 0.001 -0.001
4.341 2.878 -0.001
0.618 0.186 5.795
ATOMIC_POSITIONS angstrom
Cd 2.614 0.788 1.418
Ta 10.122 3.052 5.609
Ta 7.546 2.276 4.603
Y 5.135 1.548 2.852

Record 4
! Ta2CuPd6, relaxed, DFT GGA-PBE; values from VASP
! Calculated total energy (eV per cell): -61.78
! Formation energy from the elements (eV/f.u.): -2.83
! ΔE to the lowest computed polymorph (eV per formula unit): 0.00
! Magnetization (Bohr magnetons per cell): 0.00
&SYSTEM
  ibrav = 0, nat = 9, ntyp = 3
/
ATOMIC_SPECIES
Ta 180.95 Ta.upf
Cu 63.55 Cu.upf
Pd 106.42 Pd.upf
CELL_PARAMETERS angstrom
-3.148 2.761 2.014
-0.105 0.185 4.942
2.981 6.647 0.906
ATOMIC_POSITIONS angstrom
Ta 1.321 6.481 3.899
Ta -1.592 3.112 3.963
Cu 1.438 3.416 2.924
Pd -0.627 8.344 3.660
Pd -0.574 2.005 1.714
Pd 0.302 7.588 6.147
Pd 0.344 4.406 5.217
Pd -0.616 5.187 2.645
Pd 0.355 1.249 4.202

Record 5
! Zr2AlSi, relaxed, DFT GGA-PBE; values from VASP
! Calculated total energy (eV per cell): -27.30
! Raw formation energy (eV/f.u.): -1.03
! ΔE to the lowest computed polymorph (eV per formula unit): 1.90
! Magnetization (Bohr magnetons per cell): 0.00
&SYSTEM
  ibrav = 0, nat = 4, ntyp = 3
/
ATOMIC_SPECIES
Si 28.09 Si.upf
Al 26.98 Al.upf
Zr 91.22 Zr.upf
CELL_PARAMETERS angstrom
3.762 0.000 0.000
0.000 3.762 0.000
0.000 0.000 5.616
ATOMIC_POSITIONS angstrom
Si 1.881 1.881 4.340
Al 0.000 0.000 2.706
Zr 0.000 0.000 5.498
Zr 1.881 1.881 1.498

Record 6
! SmDy4Ir5, relaxed, DFT GGA-PBE; values from VASP
! Calculated total energy (eV per cell): -75.10
! Formation energy from the elements (eV/f.u.): -7.67
! Magnetization (Bohr magnetons per cell): 0.00
&SYSTEM
  ibrav = 0, nat = 10, ntyp = 3
/
ATOMIC_SPECIES
Sm 150.36 Sm.upf
Dy 162.50 Dy.upf
Ir 192.22 Ir.upf
CELL_PARAMETERS angstrom
3.371 0.000 0.000
0.000 3.371 0.000
0.000 0.000 17.920
ATOMIC_POSITIONS angstrom
Sm 0.000 0.000 0.000
Dy 0.000 0.000 3.634
Dy 0.000 0.000 7.185
Dy 0.000 0.000 10.735
Dy 0.000 0.000 14.286
Ir 1.686 1.686 1.880
Ir 1.686 1.686 5.412
Ir 1.686 1.686 8.960
Ir 1.686 1.686 12.508
Ir 1.686 1.686 16.040

Record 7
! CaZrSc2, relaxed, DFT GGA-PBE; values from VASP
! Calculated total energy (eV per cell): -22.42
! Formation energy from the elements (eV/f.u.): 0.80
! ΔE to the lowest computed polymorph (eV per formula unit): 0.39
! Magnetization (Bohr magnetons per cell): 0.00
&SYSTEM
  ibrav = 0, nat = 4, ntyp = 3
/
ATOMIC_SPECIES
Sc 44.96 Sc.upf
Ca 40.08 Ca.upf
Zr 91.22 Zr.upf
CELL_PARAMETERS angstrom
-2.774 2.351 4.390
-4.767 0.069 3.124
1.711 -3.875 4.292
ATOMIC_POSITIONS angstrom
Sc -7.463 2.314 7.581
Sc -1.397 -0.440 2.993
Ca -4.392 -1.078 8.861
Zr -3.035 -0.559 5.787

Record 8
! Rb2PuBeO4, relaxed, DFT GGA-PBE; values from VASP
! Calculated total energy (eV per cell): -113.60
! Raw formation energy (eV/f.u.): -16.98
! Magnetization (Bohr magnetons per cell): 8.00
&SYSTEM
  ibrav = 0, nat = 16, ntyp = 4
/
ATOMIC_SPECIES
Rb 85.47 Rb.upf
Pu 244.00 Pu.upf
Be 9.01 Be.upf
O 16.00 O.upf
CELL_PARAMETERS angstrom
6.066 0.000 0.000
0.000 6.806 0.000
0.000 0.000 6.926
ATOMIC_POSITIONS angstrom
Rb 3.033 1.955 1.696
Rb 3.033 1.955 5.230
Rb 6.066 4.851 5.159
Rb 6.066 4.851 1.767
Pu 6.066 1.169 3.463
Pu 3.033 5.637 0.000
Be 3.033 5.762 3.463
Be 6.066 1.044 0.000
O 1.378 0.061 0.000
O 4.411 6.744 3.463
O 1.656 6.745 3.463
O 4.689 0.061 0.000
O 3.033 4.888 4.932
O 6.066 1.918 1.468
O 6.066 1.918 5.458
O 3.033 4.888 1.995